No. 1
A geometry-optimized KMgSnTe3 structure, computed with PBE.

The size of the total moment is 0.0 μB/f.u. The value obtained for the uncorrected formation energy is -0.64 eV per atom.

The structure in POSCAR format:
```
KMgSnTe3
1.0
10.044 0.000 0.000
0.000 4.345 0.000
-2.989 0.000 10.148
K Mg Sn Te
2 2 2 6
Direct
0.207 0.250 0.246
0.793 0.750 0.754
0.084 0.250 0.613
0.916 0.750 0.387
0.337 0.750 0.884
0.663 0.250 0.116
0.119 0.250 0.886
0.207 0.750 0.522
0.468 0.750 0.171
0.532 0.250 0.829
0.793 0.250 0.478
0.881 0.750 0.114
```



No. 2
A geometry-optimized TlIn2P structure, computed with PBE.

The size of the total moment is 0.0 μB/f.u. The value obtained for the relative energy among the computed polymorphs is 50.8 kJ/mol of formula units.

The structure in POSCAR format:
```
TlIn2P
1.0
5.640 -1.893 0.000
5.640 1.893 0.000
-2.817 0.000 5.050
Tl In P
1 2 1
Direct
0.000 0.000 0.000
0.198 0.198 0.705
0.802 0.802 0.295
0.500 0.500 0.500
```



No. 3
A geometry-optimized RbSnHgBr5 structure, computed with PBE.

The size of the total moment is 0.0 μB/f.u. The value obtained for the uncorrected formation energy is -0.90 eV per atom.

The structure in POSCAR format:
```
RbSnHgBr5
1.0
4.913 -6.608 0.000
4.913 6.608 0.000
-4.249 0.000 9.958
Rb Sn Hg Br
2 2 2 10
Direct
0.157 0.843 0.750
0.843 0.157 0.250
0.500 0.500 0.000
0.500 0.500 0.500
0.183 0.817 0.250
0.817 0.183 0.750
0.123 0.241 0.943
0.174 0.593 0.394
0.241 0.123 0.443
0.407 0.826 0.106
0.417 0.583 0.750
0.583 0.417 0.250
0.593 0.174 0.894
0.759 0.877 0.557
0.826 0.407 0.606
0.877 0.759 0.057
```



No. 4
A geometry-optimized SiP2Ru structure, computed with PBE.

The size of the total moment is 0.0 μB/f.u. The value obtained for the uncorrected formation energy is -0.09 eV per atom.

The structure in POSCAR format:
```
SiP2Ru
1.0
4.999 0.000 0.000
0.000 2.807 0.000
-0.405 0.000 5.100
Si P Ru
1 2 1
Direct
0.000 0.000 0.000
0.454 0.000 0.992
0.739 0.000 0.359
0.697 0.500 0.720
```



No. 5
A geometry-optimized LaAs3 structure, computed with PBE.

The size of the total moment is 0.0 μB/f.u. The calculation puts the total DFT energy (no corrections) at -41.42 eV for the cell shown.

The structure in POSCAR format:
```
LaAs3
1.0
5.672 0.000 0.000
0.000 5.672 0.000
0.000 0.000 5.672
La As
2 6
Direct
0.000 0.000 0.000
0.500 0.500 0.500
0.000 0.250 0.500
0.000 0.750 0.500
0.250 0.500 0.000
0.500 0.000 0.250
0.500 0.000 0.750
0.750 0.500 0.000
```



No. 6
A geometry-optimized CoTe2MoRh structure, computed with PBE.

The size of the total moment is 1.5 μB/f.u. The value obtained for the uncorrected formation energy is 1.18 eV per atom.

The structure in POSCAR format:
```
CoTe2MoRh
1.0
5.155 0.000 0.000
0.000 5.155 0.000
0.000 0.000 4.488
Co Te Mo Rh
1 2 1 1
Direct
0.000 0.000 0.000
0.000 0.500 0.500
0.500 0.000 0.500
0.000 0.000 0.500
0.500 0.500 0.000
```



No. 7
A geometry-optimized PrB3C3 structure, computed with PBE.

The size of the total moment is 0.0 μB/f.u. The calculation puts the total DFT energy (no corrections) at -90.37 eV for the cell shown.

The structure in POSCAR format:
```
PrB3C3
1.0
8.497 0.000 0.000
-4.248 7.358 0.000
0.000 0.000 2.810
Pr B C
2 6 6
Direct
0.333 0.667 0.250
0.667 0.333 0.750
0.064 0.147 0.750
0.084 0.936 0.750
0.147 0.084 0.250
0.853 0.916 0.750
0.916 0.064 0.250
0.936 0.853 0.250
0.032 0.515 0.750
0.483 0.968 0.750
0.485 0.517 0.750
0.515 0.483 0.250
0.517 0.032 0.250
0.968 0.485 0.250
```



No. 8
A geometry-optimized SrTaPt2 structure, computed with PBE.

The size of the total moment is 0.0 μB/f.u. The value obtained for the relative energy among the computed polymorphs is 172.5 kJ/mol of formula units.

The structure in POSCAR format:
```
SrTaPt2
1.0
-3.761 3.761 3.573
3.761 -3.761 3.573
3.761 3.761 -3.573
Sr Ta Pt
2 2 4
Direct
0.000 0.000 0.000
0.750 0.250 0.500
0.250 0.750 0.500
0.500 0.500 0.000
0.192 0.625 0.067
0.375 0.442 0.567
0.558 0.125 0.933
0.875 0.808 0.433
```



No. 9
A geometry-optimized Sr2Li2CaPb2 structure, computed with PBE.

The size of the total moment is 0.1 μB/f.u. The calculation puts the total DFT energy (no corrections) at -19.52 eV for the cell shown.

The structure in POSCAR format:
```
Sr2Li2CaPb2
1.0
2.555 1.475 9.801
-2.555 1.475 9.801
0.000 -2.950 9.801
Sr Li Ca Pb
2 2 1 2
Direct
0.123 0.123 0.123
0.877 0.877 0.877
0.383 0.383 0.383
0.617 0.617 0.617
0.000 0.000 0.000
0.266 0.266 0.266
0.734 0.734 0.734
```



No. 10
A geometry-optimized Li2Cd3Ga2 structure, computed with PBE.

The size of the total moment is 0.0 μB/f.u. The value obtained for the relative energy among the computed polymorphs is 23.4 kJ/mol of formula units.

The structure in POSCAR format:
```
Li2Cd3Ga2
1.0
4.322 0.000 0.000
2.080 4.571 0.000
0.000 1.070 6.739
Li Cd Ga
2 3 2
Direct
0.079 0.345 0.209
0.921 0.655 0.791
0.207 0.081 0.658
0.500 0.500 0.500
0.793 0.919 0.342
0.361 0.774 0.059
0.639 0.226 0.941
```



No. 11
A geometry-optimized Rb2NpBr3O3 structure, computed with PBE.

The size of the total moment is 0.7 μB/f.u. The value obtained for the uncorrected formation energy is -1.62 eV per atom.

The structure in POSCAR format:
```
Rb2NpBr3O3
1.0
9.405 0.000 0.000
-4.702 8.145 0.000
0.000 0.000 3.235
Rb Np Br O
2 1 3 3
Direct
0.333 0.667 0.000
0.667 0.333 0.000
0.000 0.000 0.500
0.000 0.374 0.500
0.374 0.000 0.500
0.626 0.626 0.500
0.000 0.851 0.000
0.149 0.149 0.000
0.851 0.000 0.000
```



No. 12
A geometry-optimized K2PmMnSe4 structure, computed with PBE.

The size of the total moment is 4.0 μB/f.u. The value obtained for the uncorrected formation energy is -1.14 eV per atom.

The structure in POSCAR format:
```
K2PmMnSe4
1.0
-4.140 4.363 6.272
4.140 -4.363 6.272
4.140 4.363 -6.272
K Pm Mn Se
4 2 2 8
Direct
0.000 0.000 0.000
0.500 0.000 0.000
0.500 0.000 0.500
0.500 0.500 0.500
0.000 0.500 0.500
0.500 0.500 0.000
0.000 0.000 0.500
0.000 0.500 0.000
0.178 0.742 0.436
0.195 0.258 0.936
0.243 0.262 0.519
0.243 0.724 0.981
0.757 0.276 0.019
0.757 0.738 0.481
0.805 0.742 0.064
0.822 0.258 0.564
```



What is the formula in the sixth record?
CoTe2MoRh